1.
Entry from the Alexandria database: a relaxed structure of NaHfTe3 (PBE).

abc: 5.6137 5.6137 5.6137
angles: 90.00 90.00 90.00
Sites, in units of the cell vectors:
Na 0.5000 0.5000 0.5000
Te 0.0000 0.5000 0.0000
Te 0.0000 0.0000 0.5000
Te 0.5000 0.0000 0.0000
Hf 0.0000 0.0000 0.0000

Excess energy over the best structure of this formula in the dataset ... 14.5 kJ per mole of atoms
Uncorrected energy ... -4.663 eV/atom
ΔE_f (raw) ... -0.524 eV per atom



2.
Entry from the Alexandria database: a relaxed structure of NaHfTe2 (PBE).

abc: 4.0392 4.0392 8.3479
angles: 76.00 76.00 60.00
Sites, in units of the cell vectors:
Na 0.5001 0.5001 0.4997
Hf 0.6666 0.6666 0.0002
Te 0.0732 0.0732 0.7805
Te 0.2602 0.2602 0.2195

Uncorrected energy ... -5.202 eV/atom
ΔE_f (raw) ... -0.813 eV per atom



3.
Entry from the Alexandria database: a relaxed structure of NaHfTe (PBE).

abc: 4.2782 4.2782 8.3519
angles: 90.00 90.00 90.00
Sites, in units of the cell vectors:
Na 0.0000 0.5000 0.8497
Na 0.5000 0.0000 0.1503
Te 0.0000 0.5000 0.2427
Te 0.5000 0.0000 0.7573
Hf 0.5000 0.5000 0.5000
Hf 0.0000 0.0000 0.5000

Uncorrected energy ... -5.335 eV/atom
ΔE_f (raw) ... -0.530 eV per atom